No. 1
VASP calculation (PBE-GGA) on an optimized crystal structure of RbZrRe2Tc.

Output
- total moment (μB/atom) = 0.269
- formation energy from the elements (eV per atom) = 3.4488
- uncorrected energy (eV per cell) = -27.53

Unit cell a=4.650 b=4.650 c=4.755 alpha=90.00 beta=90.00 gamma=90.00
Space group P4/mmm (No. 123)
Asymmetric unit:
Rb  0.000  0.000  0.000
Zr  0.000  0.000  0.500
Re  0.000  0.500  0.000
Tc  0.500  0.500  0.500

No. 2
VASP calculation (PBE-GGA) on an optimized crystal structure of Tb3Pr2Dy2.

Output
- total moment (μB/atom) = 0.000
- formation energy from the elements (eV per atom) = 0.2193
- uncorrected energy (eV per cell) = -124.48

Unit cell a=9.813 b=9.813 c=9.813 alpha=90.00 beta=90.00 gamma=90.00
Space group I2_13 (No. 199)
Asymmetric unit:
Tb  0.000  0.250  0.944
Pr  0.094  0.406  0.594
Dy  0.208  0.208  0.208

No. 3
VASP calculation (PBE-GGA) on an optimized crystal structure of Tc2NiAgBr.

Output
- total moment (μB/atom) = 0.736
- uncorrected energy (eV per cell) = -21.89
- formation energy from raw total energies (eV per atom) = 1.829

Unit cell a=4.578 b=4.578 c=4.886 alpha=90.00 beta=90.00 gamma=90.00
Space group P4/mmm (No. 123)
Asymmetric unit:
Tc  0.000  0.500  0.000
Ni  0.000  0.000  0.500
Ag  0.500  0.500  0.500
Br  0.500  0.500  0.000

No. 4
VASP calculation (PBE-GGA) on an optimized crystal structure of Pm2Er5Tm.

Output
- total moment (μB/atom) = 0.000
- formation energy from the elements (eV per atom) = 0.1544
- uncorrected energy (eV per cell) = -71.10

Unit cell a=6.630 b=8.733 c=9.499 alpha=90.07 beta=93.89 gamma=111.44
Space group P-1 (No. 2)
Asymmetric unit:
Pm  0.127  0.384  0.429
Pm  0.241  0.605  0.929
Er  0.148  0.829  0.242
Er  0.184  0.242  0.108
Er  0.208  0.018  0.584
Er  0.324  0.014  0.901
Er  0.445  0.753  0.621
Tm  0.452  0.377  0.745

No. 5
VASP calculation (PBE-GGA) on an optimized crystal structure of VIrRu2.

Output
- total moment (μB/atom) = 0.000
- formation energy from the elements (eV per atom) = -0.2628
- uncorrected energy (eV per cell) = -75.17

Unit cell a=2.729 b=8.615 c=4.723 alpha=90.00 beta=90.00 gamma=90.00
Space group Imm2 (No. 44)
Asymmetric unit:
V  0.000  0.000  0.000
Ir  0.000  0.500  0.007
Ru  0.000  0.251  0.675

No. 6
VASP calculation (PBE-GGA) on an optimized crystal structure of HoTm2PuBi4.

Output
- total moment (μB/atom) = 0.648
- formation energy from the elements (eV per atom) = -0.6751
- uncorrected energy (eV per cell) = -48.78

Unit cell a=7.737 b=4.470 c=7.741 alpha=90.00 beta=109.41 gamma=90.00
Space group P2/m (No. 10)
Asymmetric unit:
Ho  0.000  0.000  0.000
Tm  0.500  0.000  0.500
Tm  0.500  0.500  0.000
Pu  0.000  0.500  0.500
Bi  0.254  0.500  0.249
Bi  0.255  0.000  0.754